! PmY2Ag | Alexandria | PBE | optimized geometry; values from VASP
&SYSTEM
  ibrav = 0, nat = 8, ntyp = 3
/
ATOMIC_SPECIES
Pm 145.00 Pm.upf
Y 88.91 Y.upf
Ag 107.87 Ag.upf
ATOMIC_POSITIONS crystal
Pm 0.0531 0.9469 0.7500
Pm 0.9469 0.0531 0.2500
Y 0.3558 0.6442 0.5327
Y 0.3558 0.6442 0.9673
Y 0.6442 0.3558 0.0327
Y 0.6442 0.3558 0.4673
Ag 0.2001 0.7999 0.2500
Ag 0.7999 0.2001 0.7500
CELL_PARAMETERS angstrom
2.5506 -6.0026 0.0000
2.5506 6.0026 0.0000
0.0000 0.0000 7.7784
! energy of formation from the pure elements	-0.08	eV/atom
! total DFT energy (no corrections)	-5.212	eV per atom
! total moment	0.000	μB/atom